P:
Density functional theory data (PBE) for AgAsPbS3 after structural relaxation.

Computed properties:
Crystal system ... monoclinic

Cell and atoms, written as extended XYZ:
```
24
Lattice="12.716 0.000 0.000 0.000 6.014 0.080 0.000 0.229 7.722" Properties=species:S:1:pos:R:3 pbc="T T T"
Ag 9.725 1.620 3.036
Ag 9.349 1.734 6.897
Ag 3.367 4.508 0.905
Ag 2.991 4.623 4.766
As 11.416 4.824 5.215
As 1.300 1.419 2.588
As 7.657 4.709 1.353
As 5.058 1.534 6.449
Pb 7.321 4.577 5.177
Pb 0.964 1.780 6.487
Pb 5.394 1.665 2.625
Pb 11.752 4.463 1.316
S 5.754 4.635 2.690
S 12.111 1.493 1.251
S 6.962 1.608 5.112
S 0.604 4.749 6.551
S 1.674 5.171 2.703
S 8.031 0.957 1.238
S 11.042 1.072 5.099
S 9.864 4.292 6.811
S 9.209 4.177 2.950
S 2.851 1.951 0.991
S 3.506 2.066 4.853
S 4.684 5.286 6.564
```


Q:
Density functional theory data (PBE) for AgAsPbS3 after structural relaxation.

Computed properties:
Crystal system ... monoclinic

Cell and atoms, written as extended XYZ:
```
12
Lattice="3.795 0.000 0.000 0.000 8.573 0.399 0.000 -1.824 9.113" Properties=species:S:1:pos:R:3 pbc="T T T"
Ag 0.949 -0.296 5.491
Ag 2.846 7.044 4.021
As 0.949 5.433 1.327
As 2.846 1.315 8.186
Pb 0.949 1.087 2.303
Pb 2.846 5.661 7.209
S 2.846 7.045 1.481
S 0.949 -0.297 8.031
S 0.949 5.587 5.180
S 2.846 1.161 4.332
S 2.846 3.320 1.342
S 0.949 3.428 8.170
```


Relative energies, in kJ/mol of atoms, with the most stable structure set to zero: P 0.0; Q 7.8.